VASP calculation (PBE-GGA) on PmAsPdO after structural relaxation.

Cell: 4.603 4.603 7.133 Å, 90.00 90.00 90.00°
Positions (direct):
1 Pm 0.250 0.750 0.000
2 Pm 0.750 0.250 0.000
3 As 0.250 0.250 0.234
4 As 0.750 0.750 0.766
5 Pd 0.250 0.250 0.571
6 Pd 0.750 0.750 0.429
7 O 0.250 0.750 0.500
8 O 0.750 0.250 0.500

Values from the calculation:
Energy in eV per atom: -4.9718


VASP calculation (PBE-GGA) on PmAsPdO after structural relaxation.

Cell: 3.634 8.002 5.654 Å, 90.00 90.00 90.00°
Positions (direct):
1 Pm 0.000 0.209 0.000
2 Pm 0.000 0.791 0.500
3 As 0.000 0.416 0.500
4 As 0.000 0.584 0.000
5 Pd 0.500 0.214 0.502
6 Pd 0.500 0.786 0.002
7 O 0.500 0.064 0.002
8 O 0.500 0.936 0.502

Values from the calculation:
Energy in eV per atom: -6.2070


VASP calculation (PBE-GGA) on PmAsPdO after structural relaxation.

Cell: 4.181 4.181 8.088 Å, 90.00 90.00 90.00°
Positions (direct):
1 Pm 0.250 0.250 0.134
2 Pm 0.750 0.750 0.866
3 As 0.250 0.250 0.669
4 As 0.750 0.750 0.331
5 Pd 0.250 0.750 0.500
6 Pd 0.750 0.250 0.500
7 O 0.250 0.750 0.000
8 O 0.750 0.250 0.000

Values from the calculation:
Energy in eV per atom: -6.7129


VASP calculation (PBE-GGA) on PmAsPdO after structural relaxation.

Cell: 4.618 4.249 7.200 Å, 90.00 90.00 90.00°
Positions (direct):
1 Pm 0.000 0.235 0.000
2 Pm 0.000 0.765 0.500
3 As 0.500 0.230 0.677
4 As 0.500 0.770 0.177
5 Pd 0.500 0.271 0.340
6 Pd 0.500 0.729 0.840
7 O 0.000 0.266 0.336
8 O 0.000 0.734 0.836

Values from the calculation:
Energy in eV per atom: -6.3398


VASP calculation (PBE-GGA) on Pr2ZnAs2PdO2 after structural relaxation.

Cell: 4.099 4.099 8.821 Å, 90.00 90.00 90.00°
Positions (direct):
1 Pr 0.000 0.500 0.135
2 Pr 0.500 0.000 0.865
3 Zn 0.000 0.000 0.500
4 As 0.000 0.500 0.675
5 As 0.500 0.000 0.325
6 Pd 0.500 0.500 0.500
7 O 0.000 0.000 0.000
8 O 0.500 0.500 0.000

Values from the calculation:
Energy in eV per atom: -6.1561


VASP calculation (PBE-GGA) on RbAsPdO after structural relaxation.

Cell: 4.501 4.501 7.865 Å, 90.00 90.00 90.00°
Positions (direct):
1 Rb 0.250 0.750 0.000
2 Rb 0.750 0.250 0.000
3 As 0.250 0.250 0.401
4 As 0.750 0.750 0.599
5 Pd 0.250 0.250 0.707
6 Pd 0.750 0.750 0.293
7 O 0.250 0.750 0.500
8 O 0.750 0.250 0.500

Values from the calculation:
Energy in eV per atom: -3.6699


VASP calculation (PBE-GGA) on RbAsPdO after structural relaxation.

Cell: 3.608 8.187 6.011 Å, 90.00 90.00 90.00°
Positions (direct):
1 Rb 0.000 0.120 0.000
2 Rb 0.000 0.880 0.500
3 As 0.000 0.350 0.475
4 As 0.000 0.650 0.975
5 Pd 0.500 0.497 0.702
6 Pd 0.500 0.503 0.202
7 O 0.500 0.333 0.955
8 O 0.500 0.667 0.455

Values from the calculation:
Energy in eV per atom: -4.3835


VASP calculation (PBE-GGA) on RbAsPdO after structural relaxation.

Cell: 4.211 4.211 10.985 Å, 90.00 90.00 90.00°
Positions (direct):
1 Rb 0.250 0.250 0.154
2 Rb 0.750 0.750 0.846
3 As 0.250 0.250 0.619
4 As 0.750 0.750 0.381
5 Pd 0.250 0.750 0.500
6 Pd 0.750 0.250 0.500
7 O 0.250 0.750 0.000
8 O 0.750 0.250 0.000

Values from the calculation:
Energy in eV per atom: -4.1266


Please write out number 2 again, unchanged.
VASP calculation (PBE-GGA) on PmAsPdO after structural relaxation.

Cell: 3.634 8.002 5.654 Å, 90.00 90.00 90.00°
Positions (direct):
1 Pm 0.000 0.209 0.000
2 Pm 0.000 0.791 0.500
3 As 0.000 0.416 0.500
4 As 0.000 0.584 0.000
5 Pd 0.500 0.214 0.502
6 Pd 0.500 0.786 0.002
7 O 0.500 0.064 0.002
8 O 0.500 0.936 0.502

Values from the calculation:
Energy in eV per atom: -6.2070